Below is crystalline NpGaFeIr at its relaxed geometry, with properties calculated at the PBE level.

## Properties
Calculated volume, Å³/cell: 66.4
DFT total energy, eV per cell: -34.04
E_form, eV/atom: -0.19

Cell: 4.5463 4.5463 4.5463 Å, 60.00 60.00 60.00°
Atoms (fractional coordinates):
Np (0.0000, 0.0000, 0.0000)
Ga (0.5000, 0.5000, 0.5000)
Fe (0.7500, 0.7500, 0.7500)
Ir (0.2500, 0.2500, 0.2500)